No. 1
The following is a DFT calculation (PBE) of an optimized crystal structure of CaReSe2I.

Output
magnetization: 4.90 μB per cell
uncorrected formation energy: 1.369 eV/atom
SG: P4/mmm, No. 123
density of states at the Fermi level: 6.272 states/eV/f.u.

Cell and atoms, written as POSCAR:
```
CaReSe2I
1.0
-2.887 0.979 4.659
-1.335 -5.553 0.340
4.580 -0.916 3.030
Re Se Ca I
1 2 1 1
Direct
0.500 0.500 0.500
0.500 0.000 0.000
0.000 0.000 0.500
0.000 0.500 0.000
0.000 0.000 0.000
```

***

No. 2
The following is a DFT calculation (PBE) of an optimized crystal structure of Rb2PaAgO4.

Output
magnetization: 0.00 μB per cell
uncorrected formation energy: -1.951 eV/atom
SG: I-4, No. 82

Cell and atoms, written as POSCAR:
```
Rb2PaAgO4
1.0
6.225 -0.105 -0.161
-2.748 5.587 0.161
-2.748 -2.101 5.179
Rb Pa O Ag
2 1 4 1
Direct
0.000 0.000 0.000
0.500 0.750 0.250
0.500 0.250 0.750
0.114 0.206 0.657
0.450 0.908 0.794
0.550 0.343 0.457
0.886 0.543 0.092
0.000 0.500 0.500
```

***

No. 3
The following is a DFT calculation (PBE) of an optimized crystal structure of Sn4As2Au.

Output
calculated formation energy: -0.03 eV/atom
magnetization: 0.00 μB per cell
SG: P-1, No. 2
density of states at the Fermi level: 2.864 states/eV/f.u.

Cell and atoms, written as POSCAR:
```
Sn4As2Au
1.0
-3.172 -2.709 -1.255
2.327 -4.633 -4.297
1.761 -5.757 3.777
Au Sn As
1 4 2
Direct
0.000 0.000 0.000
0.032 0.792 0.414
0.672 0.702 0.008
0.328 0.298 0.992
0.968 0.208 0.586
0.440 0.384 0.331
0.560 0.616 0.669
```

***

No. 4
The following is a DFT calculation (PBE) of an optimized crystal structure of LuPu2Mg.

Output
calculated formation energy: 0.29 eV/atom
magnetization: 11.69 μB per cell
SG: Fm-3m, No. 225
density of states at the Fermi level: 14.972 states/eV/f.u.

Cell and atoms, written as POSCAR:
```
LuPu2Mg
1.0
5.357 0.000 0.000
2.679 4.639 0.000
2.679 1.546 4.375
Pu Mg Lu
2 1 1
Direct
0.250 0.250 0.250
0.750 0.750 0.750
0.500 0.500 0.500
0.000 0.000 0.000
```

***

No. 5
The following is a DFT calculation (PBE) of an optimized crystal structure of PrH6Rh2.

Output
magnetization: 0.53 μB per cell
SG: P6/mmm, No. 191
density of states at the Fermi level: 4.974 states/eV/f.u.
DFT total energy: -42.5 eV/f.u.

Cell and atoms, written as POSCAR:
```
PrH6Rh2
1.0
-2.533 -4.056 0.419
1.986 1.165 -4.212
3.501 -2.075 1.077
H Pr Rh
6 1 2
Direct
0.000 0.499 0.763
0.501 0.000 0.237
0.499 0.000 0.763
0.000 0.501 0.237
0.499 0.499 0.237
0.501 0.501 0.763
0.000 0.000 0.000
0.333 0.667 0.500
0.667 0.333 0.500
```

***

No. 6
The following is a DFT calculation (PBE) of an optimized crystal structure of PrSm2Ga2Ni2.

Output
calculated formation energy: -0.45 eV/atom
magnetization: 0.00 μB per cell
SG: R-3m, No. 166
density of states at the Fermi level: 7.535 states/eV/f.u.

Cell and atoms, written as POSCAR:
```
PrSm2Ga2Ni2
1.0
4.341 0.000 0.000
2.171 3.759 0.000
2.171 1.253 9.803
Ga Pr Ni Sm
2 1 2 2
Direct
0.266 0.266 0.201
0.734 0.734 0.799
0.000 0.000 0.000
0.599 0.599 0.202
0.401 0.401 0.798
0.121 0.121 0.637
0.879 0.879 0.363
```

***

No. 7
The following is a DFT calculation (PBE) of an optimized crystal structure of YCd2Pd.

Output
calculated formation energy: 0.06 eV/atom
magnetization: 0.00 μB per cell
SG: R-3m, No. 166
density of states at the Fermi level: 2.931 states/eV/f.u.

Cell and atoms, written as POSCAR:
```
YCd2Pd
1.0
-2.211 2.326 0.054
-2.953 -0.567 -1.122
-4.763 -2.527 9.227
Y Cd Pd
1 2 1
Direct
0.000 0.000 0.000
0.100 0.100 0.701
0.900 0.900 0.299
0.500 0.500 0.500
```

***

No. 8
The following is a DFT calculation (PBE) of an optimized crystal structure of Ru5Rh.

Output
calculated formation energy: 0.02 eV/atom
magnetization: 0.00 μB per cell
SG: Amm2, No. 38
density of states at the Fermi level: 5.696 states/eV/f.u.

Cell and atoms, written as POSCAR:
```
Ru5Rh
1.0
7.211 0.010 0.000
-6.695 2.679 0.000
0.000 0.000 4.318
Ru Rh
5 1
Direct
0.332 0.668 0.000
0.222 0.778 0.500
0.888 0.112 0.500
0.556 0.444 0.500
0.669 0.331 0.000
0.001 0.999 0.000
```

***

No. 9
The following is a DFT calculation (PBE) of an optimized crystal structure of AlIn4Br.

Output
magnetization: 0.00 μB per cell
uncorrected formation energy: 0.142 eV/atom
SG: F-43m, No. 216
density of states at the Fermi level: 4.094 states/eV/f.u.

Cell and atoms, written as POSCAR:
```
AlIn4Br
1.0
-1.484 2.062 5.701
-4.730 4.004 0.737
-5.290 -1.886 2.721
Br In Al
1 4 1
Direct
0.000 0.000 0.000
0.375 0.375 0.874
0.375 0.375 0.375
0.375 0.874 0.375
0.874 0.375 0.375
0.750 0.750 0.750
```

***

No. 10
The following is a DFT calculation (PBE) of an optimized crystal structure of SrTmSnHg.

Output
calculated formation energy: -0.50 eV/atom
magnetization: 0.00 μB per cell
SG: F-43m, No. 216
density of states at the Fermi level: 3.448 states/eV/f.u.

Cell and atoms, written as POSCAR:
```
SrTmSnHg
1.0
5.451 0.000 0.000
2.726 4.721 0.000
2.726 1.574 4.451
Hg Sn Tm Sr
1 1 1 1
Direct
0.000 0.000 0.000
0.500 0.500 0.500
0.750 0.750 0.750
0.250 0.250 0.250
```

***

No. 11
The following is a DFT calculation (PBE) of an optimized crystal structure of HfZrCoNi.

Output
calculated formation energy: -0.37 eV/atom
magnetization: 0.00 μB per cell
SG: F-43m, No. 216
density of states at the Fermi level: 3.211 states/eV/f.u.

Cell and atoms, written as POSCAR:
```
HfZrCoNi
1.0
-1.155 3.823 -2.070
-4.299 1.324 -0.044
-1.278 3.570 2.419
Ni Hf Co Zr
1 1 1 1
Direct
0.500 0.500 0.500
0.750 0.750 0.750
0.000 0.000 0.000
0.250 0.250 0.250
```

***

No. 12
The following is a DFT calculation (PBE) of an optimized crystal structure of Th2Si6Ru.

Output
magnetization: 0.00 μB per cell
uncorrected formation energy: -0.549 eV/atom
SG: P-3m1, No. 164
density of states at the Fermi level: 2.842 states/eV/f.u.

Cell and atoms, written as POSCAR:
```
Th2Si6Ru
1.0
-5.186 0.804 -0.093
-0.911 -5.741 1.058
-0.404 -1.951 5.563
Th Si Ru
2 6 1
Direct
0.176 0.333 0.333
0.824 0.667 0.667
0.678 0.641 0.179
0.322 0.359 0.821
0.321 0.821 0.821
0.679 0.179 0.179
0.678 0.179 0.641
0.322 0.821 0.359
0.000 0.000 0.000
```